(1)
Compound: Sc2GaFe2Ir5
Source: the Alexandria database
Functional: PBE
Structure: relaxed

Crystal system ... tetragonal
Space group ... P4/mbm, No. 127
DFT formation energy ... -40.9 kJ per mole of atoms
Raw total energy ... -8.1161 eV/atom
D(E_F) ... 0.95 states/eV per atom
M_tot ... 4.84 μB/f.u.

Unit cell a=9.0755 b=9.0755 c=3.7477 alpha=90.00 beta=90.00 gamma=90.00
Last column: nearest neighbours and their distance in Å.
Positions (direct):
Sc 0.1717 0.3283 0.0000  3 Fe 2.56-2.76
Sc 0.3283 0.8283 0.0000  3 Fe 2.56-2.76
Sc 0.6717 0.1717 0.0000  3 Fe 2.56-2.76
Sc 0.8283 0.6717 0.0000  3 Fe 2.56-2.76
Ga 0.0000 0.0000 0.0000  8 Ir 2.71
Ga 0.5000 0.5000 0.0000  8 Ir 2.71
Fe 0.1291 0.6291 0.0000  6 Ir 2.47-2.50, 3 Sc 2.56-2.76
Fe 0.3709 0.1291 0.0000  6 Ir 2.47-2.50, 3 Sc 2.56-2.76
Fe 0.6291 0.8709 0.0000  6 Ir 2.47-2.50, 3 Sc 2.56-2.76
Fe 0.8709 0.3709 0.0000  6 Ir 2.47-2.50, 3 Sc 2.56-2.76
Ir 0.0000 0.5000 0.5000  4 Fe 2.50, 4 Ir 2.75
Ir 0.0692 0.7955 0.5000  2 Fe 2.47, 2 Ga 2.71, 1 Ir 2.75
Ir 0.2045 0.0692 0.5000  2 Fe 2.47, 2 Ga 2.71, 1 Ir 2.75
Ir 0.2955 0.5692 0.5000  2 Fe 2.47, 2 Ga 2.71, 1 Ir 2.75
Ir 0.4308 0.2955 0.5000  2 Fe 2.47, 2 Ga 2.71, 1 Ir 2.75
Ir 0.5000 0.0000 0.5000  4 Fe 2.50, 4 Ir 2.75
Ir 0.5692 0.7045 0.5000  2 Fe 2.47, 2 Ga 2.71, 1 Ir 2.75
Ir 0.7045 0.4308 0.5000  2 Fe 2.47, 2 Ga 2.71, 1 Ir 2.75
Ir 0.7955 0.9308 0.5000  2 Fe 2.47, 2 Ga 2.71, 1 Ir 2.75
Ir 0.9308 0.2045 0.5000  2 Fe 2.47, 2 Ga 2.71, 1 Ir 2.75

=====

(2)
Compound: TlGaFeIr2
Source: the Alexandria database
Functional: PBE
Structure: relaxed

Crystal system ... tetragonal
Space group ... P4/mmm, No. 123
DFT formation energy ... 103.0 kJ per mole of atoms
Raw total energy ... -5.2485 eV/atom
D(E_F) ... 0.91 states/eV per atom
M_tot ... 0.00 μB/f.u.

Unit cell a=4.5245 b=4.5245 c=4.9417 alpha=90.00 beta=90.00 gamma=90.00
Last column: nearest neighbours and their distance in Å.
Positions (direct):
Tl 0.0000 0.0000 0.0000  2 Fe 2.47
Ga 0.5000 0.5000 0.0000  4 Tl 3.20, 8 Ir 3.35
Fe 0.0000 0.0000 0.5000  4 Ir 2.26, 2 Tl 2.47
Ir 0.0000 0.5000 0.5000  2 Fe 2.26
Ir 0.5000 0.0000 0.5000  2 Fe 2.26